# BaReAu, relaxed, DFT PBE
data_BaReAu
_chemical_formula_sum 'Ba1 Re1 Au1'
_cell_length_a 5.303
_cell_length_b 5.303
_cell_length_c 5.303
_cell_angle_alpha 60.00
_cell_angle_beta 60.00
_cell_angle_gamma 60.00
_space_group_name_H-M_alt 'P 1'
_space_group_IT_number 1
loop_
_space_group_symop_operation_xyz
'x,y,z'
loop_
_atom_site_label
_atom_site_fract_x
_atom_site_fract_y
_atom_site_fract_z
Ba1 0.000 0.000 0.000
Re1 0.750 0.750 0.750
Au1 0.250 0.250 0.250
# energy relative to the lowest polymorph listed for this composition	0.9132	eV per atom
# DOS at the Fermi energy	2.4	states/eV per cell
# formation enthalpy at 0 K	1.7099	eV per atom
# space-group type	No. 216